Below is a relaxed VCu5O8 crystal, with properties calculated at the PBE+U level.

Cell and atoms, written as POSCAR:
```
VCu5O8
1.0
5.926 0.000 0.000
2.963 5.132 0.000
2.963 1.711 4.839
V Cu O
1 5 8
direct
0.250 0.250 0.250
0.000 0.000 0.000
0.628 0.628 0.116
0.628 0.628 0.628
0.116 0.628 0.628
0.628 0.116 0.628
0.373 0.881 0.373
0.881 0.373 0.373
0.373 0.373 0.373
0.373 0.373 0.881
0.868 0.868 0.396
0.396 0.868 0.868
0.868 0.868 0.868
0.868 0.396 0.868
```

## Properties
For the spin magnetization, the calculation gives 4.04 μB/cell. The calculated total energy is -5.59 eV/atom.